{"formula": "Ta2BiIrI", "functional": "GGA-PBE", "state": "optimized geometry", "total_energy_ev_per_atom": -5.39, "m_tot_mub_per_fu": 0.00, "sg": "P4/mmm", "lattice_angstrom": [[5.303, 0.000, 0.000], [0.000, 5.303, 0.000], [0.000, 0.000, 4.933]], "species": ["Ta", "Ta", "Ir", "I", "Bi"], "fractional_positions": [[0.000, 0.500, 0.000], [0.500, 0.000, 0.000], [0.000, 0.000, 0.500], [0.500, 0.500, 0.500], [0.000, 0.000, 0.000]]}